[1]
# PBE TaPCl2, relaxed
data_TaPCl2
_cell_length_a 6.362
_cell_length_b 6.362
_cell_length_c 6.362
_cell_angle_alpha 90.00
_cell_angle_beta 90.00
_cell_angle_gamma 90.00
_space_group_name_H-M_alt 'F m -3 m'
_space_group_IT_number 225
_space_group_name_Hall '-F 4 2 3'
loop_
_atom_site_label
_atom_site_fract_x
_atom_site_fract_y
_atom_site_fract_z
Ta1 0.000 0.000 0.000
P1 0.000 0.000 0.500
Cl1 0.250 0.250 0.250
# - Fermi-level density of states: 0.918 states/eV per atom
# - E above lowest polymorph: 1208 meV per atom
# - ΔE_f (raw): 0.559 eV/atom

---

[2]
# PBE Nd2ErSn3Ir4, relaxed
data_Nd2ErSn3Ir4
_cell_length_a 4.387
_cell_length_b 4.387
_cell_length_c 11.610
_cell_angle_alpha 90.00
_cell_angle_beta 90.00
_cell_angle_gamma 90.00
_space_group_name_H-M_alt 'P -4 m 2'
_space_group_IT_number 115
_space_group_name_Hall 'P -4 -2'
loop_
_atom_site_label
_atom_site_fract_x
_atom_site_fract_y
_atom_site_fract_z
Nd1 0.000 0.500 0.233
Er1 0.000 0.000 0.500
Sn1 0.000 0.500 0.873
Sn2 0.500 0.500 0.500
Ir1 0.000 0.000 0.000
Ir2 0.000 0.500 0.647
Ir3 0.500 0.500 0.000
# - Fermi-level density of states: 0.558 states/eV per atom
# - ΔH_f (0 K): -0.627 eV per atom

---

[3]
# PBE Sr4Pa3RuN8, relaxed
data_Sr4Pa3RuN8
_cell_length_a 7.0613
_cell_length_b 7.0613
_cell_length_c 17.8689
_cell_angle_alpha 90.00
_cell_angle_beta 90.00
_cell_angle_gamma 120.00
_space_group_name_H-M_alt 'R -3 m'
_space_group_IT_number 166
_space_group_name_Hall '-R 3 2"'
loop_
_atom_site_label
_atom_site_fract_x
_atom_site_fract_y
_atom_site_fract_z
Sr1 0.0000 0.0000 0.0000
Sr2 0.0000 0.5000 0.0000
Pa1 0.0000 0.5000 0.5000
Ru1 0.0000 0.0000 0.5000
N1 0.0000 0.0000 0.2337
N2 0.0141 0.5071 0.7661
# - Fermi-level density of states: 0.435 states/eV per atom
# - ΔE_f (raw): -1.069 eV/atom

---

[4]
# PBE KAl2Rh, relaxed
data_KAl2Rh
_cell_length_a 2.922
_cell_length_b 4.113
_cell_length_c 7.928
_cell_angle_alpha 90.00
_cell_angle_beta 90.00
_cell_angle_gamma 90.00
_space_group_name_H-M_alt 'P m m 2'
_space_group_IT_number 25
_space_group_name_Hall 'P 2 -2'
loop_
_atom_site_label
_atom_site_fract_x
_atom_site_fract_y
_atom_site_fract_z
K1 0.000 0.000 0.000
Al1 0.500 0.000 0.597
Al2 0.500 0.500 0.334
Rh1 0.000 0.500 0.594
# - Fermi-level density of states: 0.406 states/eV per atom
# - E above lowest polymorph: 127 meV per atom
# - ΔH_f (0 K): -0.210 eV per atom